Material: Rb4NaU3Te8
Method: DFT, PBE
State: optimized geometry

Results
Spin magnetization   0.438 μB/atom
E_form (uncorrected)   -1377 kJ/mol of formula units
Crystal system   trigonal

abc: 9.2257 10.0134 9.2286
angles: 117.46 119.99 90.00
Fractional positions:
Rb1 0.5000 0.0000 0.0000
Rb2 0.5000 0.0000 0.5000
Rb3 0.0000 0.0000 0.0000
Rb4 0.0000 0.0000 0.5000
Na1 0.0000 0.5000 0.0000
U1 0.5000 0.5000 0.0000
U2 0.5000 0.5000 0.5000
U3 0.0000 0.5000 0.5000
Te1 0.2401 0.6976 0.9575
Te2 0.2405 0.6979 0.4810
Te3 0.2668 0.3003 0.5336
Te4 0.7173 0.6976 0.9575
Te5 0.2827 0.3024 0.0425
Te6 0.7332 0.6997 0.4664
Te7 0.7595 0.3021 0.5190
Te8 0.7599 0.3024 0.0425

---

Material: U2GeSe5
Method: DFT, PBE
State: optimized geometry

Results
Spin magnetization   0.528 μB/atom
E_form (uncorrected)   -672 kJ/mol of formula units
Crystal system   orthorhombic

abc: 3.9591 7.8896 12.0246
angles: 90.00 90.00 90.00
Fractional positions:
U1 0.5000 0.5215 0.1789
U2 0.5000 0.4785 0.8211
U3 0.5000 0.9785 0.6789
U4 0.5000 0.0215 0.3211
Ge1 0.0000 0.5000 0.5000
Ge2 0.0000 0.0000 0.0000
Se1 0.0000 0.0000 0.5000
Se2 0.0000 0.5000 0.0000
Se3 0.0000 0.8177 0.1938
Se4 0.0000 0.1823 0.8062
Se5 0.0000 0.6823 0.6938
Se6 0.0000 0.3177 0.3062
Se7 0.5000 0.6679 0.3968
Se8 0.5000 0.3321 0.6032
Se9 0.5000 0.8321 0.8968
Se10 0.5000 0.1679 0.1032

---

Material: InSb2Se
Method: DFT, PBE
State: optimized geometry

Results
Energy above the most stable polymorph in this dataset   2.01 kcal/mol of atoms
Spin magnetization   0.000 μB/atom
E_form (uncorrected)   -42 kJ/mol of formula units
Crystal system   tetragonal

abc: 5.2458 5.2458 5.2444
angles: 69.73 69.73 107.85
Fractional positions:
In1 0.0000 0.5000 0.5000
Sb1 0.0000 0.0000 0.0000
Sb2 0.5000 0.5000 0.0000
Se1 0.5000 0.0000 0.5000

---

Material: LiAcAlCu
Method: DFT, PBE
State: optimized geometry

Results
Energy above the most stable polymorph in this dataset   1.88 kcal/mol of atoms
ΔH_f (0 K)   -0.131 eV/atom
Spin magnetization   0.000 μB/atom
Crystal system   cubic

abc: 4.9556 4.9556 4.9556
angles: 60.00 60.00 60.00
Fractional positions:
Ac1 0.0000 0.0000 0.0000
Al1 0.5000 0.5000 0.5000
Cu1 0.2500 0.2500 0.2500
Li1 0.7500 0.7500 0.7500

---

Material: CsAlGe2
Method: DFT, PBE
State: optimized geometry

Results
ΔH_f (0 K)   0.033 eV/atom
Spin magnetization   0.000 μB/atom
Crystal system   trigonal

abc: 4.3340 4.3340 7.6923
angles: 73.64 73.64 60.00
Fractional positions:
Cs1 0.5000 0.5000 0.5000
Ge1 0.2915 0.2915 0.1256
Ge2 0.7085 0.7085 0.8744
Al1 0.0000 0.0000 0.0000

---

Material: ZnRe2Au
Method: DFT, PBE
State: optimized geometry

Results
ΔH_f (0 K)   0.062 eV/atom
Spin magnetization   0.000 μB/atom
Crystal system   trigonal

abc: 9.2423 9.2423 9.2423
angles: 17.53 17.53 17.53
Fractional positions:
Au1 0.7521 0.7521 0.7521
Re1 0.9941 0.9941 0.9941
Re2 0.2517 0.2517 0.2517
Zn1 0.5020 0.5020 0.5020

---

Quick rundown of E, same order as above: -4.9037; -6.4479; -3.7266; -3.5967; -3.4250; -7.3003 eV per atom